Record 1
Below is Tb3Tm3ScSe8 after structural relaxation, with properties calculated at the GGA-PBE level.

The structure in POSCAR format:
```
Tb3Tm3ScSe8
1.0
4.0245 2.3235 6.5996
-4.0245 2.3235 6.5996
0.0000 -4.6470 6.5996
Tb Tm Sc Se
3 3 1 8
Direct
0.0000 0.5000 0.5000 Tb
0.5000 0.0000 0.5000 Tb
0.5000 0.5000 0.0000 Tb
0.0000 0.0000 0.5000 Tm
0.0000 0.5000 0.0000 Tm
0.5000 0.0000 0.0000 Tm
0.5000 0.5000 0.5000 Sc
0.2477 0.2477 0.2477 Se
0.2484 0.7467 0.7467 Se
0.2533 0.2533 0.7516 Se
0.2533 0.7516 0.2533 Se
0.7467 0.2484 0.7467 Se
0.7467 0.7467 0.2484 Se
0.7516 0.2533 0.2533 Se
0.7523 0.7523 0.7523 Se
```

Computed properties:
Calculated total energy ... -5.89 eV/atom

=====

Record 2
Below is BaCaH2S after structural relaxation, with properties calculated at the GGA-PBE level.

The structure in POSCAR format:
```
BaCaH2S
1.0
4.5089 0.0000 0.0000
0.0000 4.5089 0.0000
0.0000 0.0000 5.4576
Ba Ca H S
1 1 2 1
Direct
0.0000 0.0000 0.0000 Ba
0.5000 0.5000 0.5000 Ca
0.0000 0.5000 0.5000 H
0.5000 0.0000 0.5000 H
0.5000 0.5000 0.0000 S
```

Computed properties:
Calculated total energy ... -4.03 eV/atom
Polymorph energy (0 for the lowest one) ... 88 meV/atom

=====

Record 3
Below is MoRhSCl2 after structural relaxation, with properties calculated at the GGA-PBE level.

The structure in POSCAR format:
```
MoRhSCl2
1.0
4.8553 0.0000 0.0000
0.0000 4.8553 0.0000
0.0000 0.0000 4.6336
Mo Rh S Cl
1 1 1 2
Direct
0.0000 0.0000 0.0000 Mo
0.5000 0.5000 0.5000 Rh
0.0000 0.0000 0.5000 S
0.0000 0.5000 0.0000 Cl
0.5000 0.0000 0.0000 Cl
```

Computed properties:
Calculated total energy ... -4.72 eV/atom
Polymorph energy (0 for the lowest one) ... 0 meV/atom

=====

Question: The lowest calculated total energy belongs to which entry?
Answer: Tb3Tm3ScSe8